Run a
A geometry-optimized KHgGe3 structure, computed with PBEsol.

Results
Calculated volume = 29.81 A^3/atom

CIF file:
```
data_KHgGe3
_chemical_formula_sum 'K1 Hg1 Ge3'
_cell_length_a 5.302
_cell_length_b 5.302
_cell_length_c 5.302
_cell_angle_alpha 90.00
_cell_angle_beta 90.00
_cell_angle_gamma 90.00
_space_group_name_H-M_alt 'P m -3 m'
_space_group_IT_number 221
_space_group_name_Hall '-P 4 2 3'
loop_
_atom_site_label
_atom_site_type_symbol
_atom_site_fract_x
_atom_site_fract_y
_atom_site_fract_z
_atom_site_occupancy
K1 K 0.000 0.000 0.000 1
Hg1 Hg 0.500 0.500 0.500 1
Ge1 Ge 0.000 0.500 0.500 1
```

Run b
A geometry-optimized KHgGe3 structure, computed with PBEsol.

Results
Calculated volume = 32.55 A^3/atom

CIF file:
```
data_KHgGe3
_chemical_formula_sum 'K1 Hg1 Ge3'
_cell_length_a 5.460
_cell_length_b 5.460
_cell_length_c 5.460
_cell_angle_alpha 90.00
_cell_angle_beta 90.00
_cell_angle_gamma 90.00
_space_group_name_H-M_alt 'P m -3 m'
_space_group_IT_number 221
_space_group_name_Hall '-P 4 2 3'
loop_
_atom_site_label
_atom_site_type_symbol
_atom_site_fract_x
_atom_site_fract_y
_atom_site_fract_z
_atom_site_occupancy
K1 K 0.000 0.000 0.000 1
Hg1 Hg 0.500 0.500 0.500 1
Ge1 Ge 0.000 0.000 0.500 1
```

Which structure is the most stable? The one labeled run a.

Run a
A geometry-optimized HgGeTe2 structure, computed with PBEsol.

Results
Calculated volume = 33.70 A^3/atom

CIF file:
```
data_HgGeTe2
_chemical_formula_sum 'Hg3 Ge3 Te6'
_cell_length_a 4.2921
_cell_length_b 4.2921
_cell_length_c 25.3473
_cell_angle_alpha 90.00
_cell_angle_beta 90.00
_cell_angle_gamma 120.00
_space_group_name_H-M_alt 'R -3 m'
_space_group_IT_number 166
_space_group_name_Hall '-R 3 2"'
loop_
_atom_site_label
_atom_site_type_symbol
_atom_site_fract_x
_atom_site_fract_y
_atom_site_fract_z
_atom_site_occupancy
Hg1 Hg 0.0000 0.0000 0.0000 1
Ge1 Ge 0.0000 0.0000 0.5000 1
Te1 Te 0.0000 0.0000 0.3982 1
```

Run b
A geometry-optimized HgGeTe2 structure, computed with PBEsol.

Results
Calculated volume = 24.43 A^3/atom

CIF file:
```
data_HgGeTe2
_chemical_formula_sum 'Hg4 Ge4 Te8'
_cell_length_a 7.311
_cell_length_b 7.311
_cell_length_c 7.311
_cell_angle_alpha 90.00
_cell_angle_beta 90.00
_cell_angle_gamma 90.00
_space_group_name_H-M_alt 'F m -3 m'
_space_group_IT_number 225
_space_group_name_Hall '-F 4 2 3'
loop_
_atom_site_label
_atom_site_type_symbol
_atom_site_fract_x
_atom_site_fract_y
_atom_site_fract_z
_atom_site_occupancy
Hg1 Hg 0.000 0.000 0.000 1
Ge1 Ge 0.000 0.000 0.500 1
Te1 Te 0.250 0.250 0.250 1
```

Which structure is the most stable? The one labeled run b.

Run a
A geometry-optimized Mg2MnGeI structure, computed with PBEsol.

Results
Calculated volume = 29.65 A^3/atom

CIF file:
```
data_Mg2MnGeI
_chemical_formula_sum 'Mg2 Mn1 Ge1 I1'
_cell_length_a 5.037
_cell_length_b 5.037
_cell_length_c 5.844
_cell_angle_alpha 90.00
_cell_angle_beta 90.00
_cell_angle_gamma 90.00
_space_group_name_H-M_alt 'P 4/m m m'
_space_group_IT_number 123
_space_group_name_Hall '-P 4 2'
loop_
_atom_site_label
_atom_site_type_symbol
_atom_site_fract_x
_atom_site_fract_y
_atom_site_fract_z
_atom_site_occupancy
Mg1 Mg 0.000 0.500 0.000 1
Mn1 Mn 0.000 0.000 0.500 1
Ge1 Ge 0.500 0.500 0.000 1
I1 I 0.500 0.500 0.500 1
```

Run b
A geometry-optimized Mg2MnGeI structure, computed with PBEsol.

Results
Calculated volume = 25.74 A^3/atom

CIF file:
```
data_Mg2MnGeI
_chemical_formula_sum 'Mg2 Mn1 Ge1 I1'
_cell_length_a 5.351
_cell_length_b 5.351
_cell_length_c 4.495
_cell_angle_alpha 90.00
_cell_angle_beta 90.00
_cell_angle_gamma 90.00
_space_group_name_H-M_alt 'P 4/m m m'
_space_group_IT_number 123
_space_group_name_Hall '-P 4 2'
loop_
_atom_site_label
_atom_site_type_symbol
_atom_site_fract_x
_atom_site_fract_y
_atom_site_fract_z
_atom_site_occupancy
Mg1 Mg 0.000 0.500 0.000 1
Mn1 Mn 0.000 0.000 0.000 1
Ge1 Ge 0.000 0.000 0.500 1
I1 I 0.500 0.500 0.500 1
```

Which structure is the most stable? The one labeled run b.